The following is a PBE-GGA calculation of an optimized crystal structure of CsNaTbS2, from Alexandria via LeMat-Bulk. Values from VASP.

Structure (Quantum ESPRESSO input):
```
&SYSTEM
  ibrav = 0, nat = 10, ntyp = 4
/
ATOMIC_SPECIES
Cs 132.91 Cs.upf
Na 22.99 Na.upf
Tb 158.93 Tb.upf
S 32.06 S.upf
CELL_PARAMETERS angstrom
3.766 -8.004 0.000
3.766 8.004 0.000
0.000 0.000 6.384
ATOMIC_POSITIONS angstrom
Cs 3.766 4.002 4.850
Cs 3.766 -4.002 1.535
Na 0.000 0.000 0.000
Na 3.766 0.000 0.000
Tb 1.883 0.000 3.192
Tb 5.649 0.000 3.192
S 3.766 6.352 2.253
S 3.766 1.652 2.253
S 3.766 -1.652 4.131
S 3.766 -6.352 4.131
```

## Properties
Formation energy without anion corrections in meV/atom: -1207.7
Magnetic moment in μB per cell: 0.73
Crystal system: orthorhombic



The following is a PBE-GGA calculation of an optimized crystal structure of Cs2NaTcS4, from Alexandria via LeMat-Bulk. Values from VASP.

Structure (Quantum ESPRESSO input):
```
&SYSTEM
  ibrav = 0, nat = 8, ntyp = 4
/
ATOMIC_SPECIES
Cs 132.91 Cs.upf
Na 22.99 Na.upf
Tc 98.00 Tc.upf
S 32.06 S.upf
CELL_PARAMETERS angstrom
-3.935 3.935 4.442
3.935 -3.935 4.442
3.935 3.935 -4.442
ATOMIC_POSITIONS angstrom
Cs 0.000 0.000 0.000
Cs 0.000 3.935 2.221
Na 0.000 0.000 4.442
Tc 3.935 0.000 2.221
S 1.552 2.928 -0.983
S 4.941 1.552 0.983
S 2.382 1.006 3.459
S -1.006 2.382 5.425
```

## Properties
Formation energy without anion corrections in meV/atom: -839.2
Magnetic moment in μB per cell: 2.00
Crystal system: tetragonal



The following is a PBE-GGA calculation of an optimized crystal structure of Cs2NaTeS4, from Alexandria via LeMat-Bulk. Values from VASP.

Structure (Quantum ESPRESSO input):
```
&SYSTEM
  ibrav = 0, nat = 16, ntyp = 4
/
ATOMIC_SPECIES
Cs 132.91 Cs.upf
Na 22.99 Na.upf
Te 127.60 Te.upf
S 32.06 S.upf
CELL_PARAMETERS angstrom
0.000 7.307 12.791
3.291 0.000 12.791
3.291 7.307 0.000
ATOMIC_POSITIONS angstrom
Cs 2.469 5.481 1.421
Cs 4.114 9.134 7.816
Cs 2.469 5.481 17.766
Cs 4.114 9.134 24.161
Na 0.823 1.827 3.198
Na 5.760 12.788 22.384
Te 2.469 5.481 9.593
Te 4.114 9.134 15.989
S 3.888 3.985 8.275
S 3.888 6.976 10.911
S 5.534 7.639 17.307
S 5.534 10.629 14.671
S 1.049 3.985 10.911
S 1.049 6.976 8.275
S 2.694 7.639 14.671
S 2.694 10.629 17.307
```

## Properties
Formation energy without anion corrections in meV/atom: -611.3
Magnetic moment in μB per cell: 1.94
Crystal system: orthorhombic



The following is a PBE-GGA calculation of an optimized crystal structure of Cs2NaTeS, from Alexandria via LeMat-Bulk. Values from VASP.

Structure (Quantum ESPRESSO input):
```
&SYSTEM
  ibrav = 0, nat = 5, ntyp = 4
/
ATOMIC_SPECIES
Cs 132.91 Cs.upf
Na 22.99 Na.upf
Te 127.60 Te.upf
S 32.06 S.upf
CELL_PARAMETERS angstrom
6.781 0.000 0.000
0.000 6.781 0.000
0.000 0.000 5.188
ATOMIC_POSITIONS angstrom
Cs 0.000 3.391 0.000
Cs 3.391 0.000 0.000
Na 0.000 0.000 2.594
Te 3.391 3.391 2.594
S 0.000 0.000 0.000
```

## Properties
Formation energy without anion corrections in meV/atom: -746.6
Magnetic moment in μB per cell: 1.05
Crystal system: tetragonal



The following is a PBE-GGA calculation of an optimized crystal structure of CsNaTeS3, from Alexandria via LeMat-Bulk. Values from VASP.

Structure (Quantum ESPRESSO input):
```
&SYSTEM
  ibrav = 0, nat = 12, ntyp = 4
/
ATOMIC_SPECIES
Cs 132.91 Cs.upf
Na 22.99 Na.upf
Te 127.60 Te.upf
S 32.06 S.upf
CELL_PARAMETERS angstrom
2.572 -7.285 0.000
2.572 7.285 0.000
0.000 0.000 10.891
ATOMIC_POSITIONS angstrom
Cs 2.572 3.643 8.168
Cs 2.572 -3.643 2.723
Na 0.000 0.000 0.000
Na 0.000 0.000 5.445
Te 2.572 0.372 2.723
Te 2.572 -0.372 8.168
S 2.572 6.948 2.723
S 2.572 1.814 0.856
S 2.572 1.814 4.590
S 2.572 -1.814 6.301
S 2.572 -1.814 10.035
S 2.572 -6.948 8.168
```

## Properties
Formation energy without anion corrections in meV/atom: -659.4
Magnetic moment in μB per cell: 0.00
Crystal system: orthorhombic



The following is a PBE-GGA calculation of an optimized crystal structure of Cs3NaTh2S6, from Alexandria via LeMat-Bulk. Values from VASP.

Structure (Quantum ESPRESSO input):
```
&SYSTEM
  ibrav = 0, nat = 12, ntyp = 4
/
ATOMIC_SPECIES
Cs 132.91 Cs.upf
Na 22.99 Na.upf
Th 232.04 Th.upf
S 32.06 S.upf
CELL_PARAMETERS angstrom
3.712 -6.434 0.000
3.712 6.434 0.000
-2.443 0.000 8.062
ATOMIC_POSITIONS angstrom
Cs 0.000 0.000 0.000
Cs 3.712 2.014 0.000
Cs 3.712 -2.014 0.000
Na 2.490 0.000 4.031
Th 2.490 4.279 4.031
Th 2.490 -4.279 4.031
S 1.139 2.336 2.506
S -0.172 0.000 5.505
S 1.139 -2.336 2.506
S 3.841 2.336 5.556
S 5.152 0.000 2.557
S 3.841 -2.336 5.556
```

## Properties
Formation energy without anion corrections in meV/atom: -1672.5
Magnetic moment in μB per cell: 0.00
Crystal system: monoclinic



Which formula does entry 1 have?
CsNaTbS2